(1)
RbZn2Sn8 | PBE-GGA | optimized geometry

Geometry as POSCAR:
```
RbZn2Sn8
1.0
6.2272 0.0000 0.0000
0.0000 6.2272 0.0000
0.0000 0.0000 10.1739
Rb Zn Sn
1 2 8
direct
0.0000 0.0000 0.0000 Rb
0.0000 0.5000 0.5000 Zn
0.5000 0.0000 0.5000 Zn
0.2513 0.2513 0.3183 Sn
0.2513 0.2513 0.6817 Sn
0.2513 0.7487 0.3183 Sn
0.2513 0.7487 0.6817 Sn
0.7487 0.2513 0.3183 Sn
0.7487 0.2513 0.6817 Sn
0.7487 0.7487 0.3183 Sn
0.7487 0.7487 0.6817 Sn
```

***

(2)
Rb2Zn3Sn5 | PBE-GGA | optimized geometry

Geometry as POSCAR:
```
Rb2Zn3Sn5
1.0
-5.9333 6.9157 3.4632
5.9333 -6.9157 3.4632
5.9333 6.9157 -3.4632
Rb Zn Sn
4 6 10
direct
0.1270 0.2483 0.3753 Rb
0.3730 0.7483 0.1214 Rb
0.6270 0.2517 0.8786 Rb
0.8730 0.7517 0.6247 Rb
0.1216 0.6324 0.7540 Zn
0.2500 0.2500 0.0000 Zn
0.3784 0.1324 0.5108 Zn
0.6216 0.8676 0.4892 Zn
0.7500 0.7500 0.0000 Zn
0.8784 0.3676 0.2460 Zn
0.0044 0.7500 0.2544 Sn
0.1168 0.8649 0.9817 Sn
0.2500 0.7500 0.5000 Sn
0.3832 0.3649 0.7481 Sn
0.4956 0.7500 0.7456 Sn
0.5044 0.2500 0.2544 Sn
0.6168 0.6351 0.2519 Sn
0.7500 0.2500 0.5000 Sn
0.8832 0.1351 0.0183 Sn
0.9956 0.2500 0.7456 Sn
```

***

(3)
Rb3Zn2Sn7 | PBE-GGA | optimized geometry

Geometry as POSCAR:
```
Rb3Zn2Sn7
1.0
2.6091 -18.0313 0.0000
2.6091 18.0313 0.0000
0.0000 0.0000 4.5260
Rb Zn Sn
3 2 7
direct
0.0000 0.0000 0.0000 Rb
0.2085 0.7915 0.0000 Rb
0.7915 0.2085 0.0000 Rb
0.4273 0.5727 0.5000 Zn
0.5727 0.4273 0.5000 Zn
0.1203 0.8797 0.5000 Sn
0.3250 0.6750 0.5000 Sn
0.3810 0.6190 0.0000 Sn
0.5000 0.5000 0.5000 Sn
0.6190 0.3810 0.0000 Sn
0.6750 0.3250 0.5000 Sn
0.8797 0.1203 0.5000 Sn
```

***

(4)
Rb3ZnSn | PBE-GGA | optimized geometry

Geometry as POSCAR:
```
Rb3ZnSn
1.0
7.2048 0.0000 0.0000
0.0000 7.2048 0.0000
0.0000 0.0000 7.2048
Rb Zn Sn
3 1 1
direct
0.0000 0.0000 0.5000 Rb
0.0000 0.5000 0.0000 Rb
0.5000 0.0000 0.0000 Rb
0.5000 0.5000 0.5000 Zn
0.0000 0.0000 0.0000 Sn
```

Results
- excess energy over the best structure of this formula in the dataset (eV per atom) = 0.201

***

(5)
RbZn3Sn4 | PBE-GGA | optimized geometry

Geometry as POSCAR:
```
RbZn3Sn4
1.0
4.9919 0.0000 0.0000
0.0000 4.9919 0.0000
0.0000 0.0000 8.5078
Rb Zn Sn
1 3 4
direct
0.0000 0.0000 0.0000 Rb
0.0000 0.0000 0.5000 Zn
0.5000 0.5000 0.1488 Zn
0.5000 0.5000 0.8512 Zn
0.0000 0.5000 0.3228 Sn
0.0000 0.5000 0.6772 Sn
0.5000 0.0000 0.3228 Sn
0.5000 0.0000 0.6772 Sn
```

***

(6)
RbZn3Sn | PBE-GGA | optimized geometry

Geometry as POSCAR:
```
RbZn3Sn
1.0
6.2739 0.0000 0.0000
0.0000 6.2739 0.0000
0.0000 0.0000 6.2739
Rb Zn Sn
1 3 1
direct
0.0000 0.0000 0.0000 Rb
0.0000 0.0000 0.5000 Zn
0.0000 0.5000 0.0000 Zn
0.5000 0.0000 0.0000 Zn
0.5000 0.5000 0.5000 Sn
```

Results
- excess energy over the best structure of this formula in the dataset (eV per atom) = 0.780

***

(7)
RbZn3Sn2 | PBE-GGA | optimized geometry

Geometry as POSCAR:
```
RbZn3Sn2
1.0
8.4504 -2.1107 0.0000
8.4504 2.1107 0.0000
-3.1585 0.0000 9.2876
Rb Zn Sn
2 6 4
direct
0.1332 0.1332 0.0364 Rb
0.8668 0.8668 0.9636 Rb
0.0806 0.0806 0.4261 Zn
0.3060 0.3060 0.5344 Zn
0.4192 0.4192 0.3983 Zn
0.5808 0.5808 0.6017 Zn
0.6940 0.6940 0.4656 Zn
0.9194 0.9194 0.5739 Zn
0.2014 0.2014 0.6998 Sn
0.4737 0.4737 0.7541 Sn
0.5263 0.5263 0.2459 Sn
0.7986 0.7986 0.3002 Sn
```

***

(8)
Rb2ZnSn2 | PBE-GGA | optimized geometry

Geometry as POSCAR:
```
Rb2ZnSn2
1.0
6.1064 -2.7519 0.0000
6.1064 2.7519 0.0000
-4.9575 0.0000 10.7640
Rb Zn Sn
4 2 4
direct
0.0988 0.0988 0.3815 Rb
0.3243 0.3243 0.8137 Rb
0.6757 0.6757 0.1863 Rb
0.9012 0.9012 0.6185 Rb
0.3501 0.3501 0.1302 Zn
0.6499 0.6499 0.8698 Zn
0.1008 0.1008 0.9578 Sn
0.4033 0.4033 0.3847 Sn
0.5967 0.5967 0.6153 Sn
0.8992 0.8992 0.0422 Sn
```

Results
- excess energy over the best structure of this formula in the dataset (eV per atom) = 0.000

***

(9)
Rb2ZnSn7 | PBE-GGA | optimized geometry

Geometry as POSCAR:
```
Rb2ZnSn7
1.0
5.1605 0.0000 0.0000
0.0000 5.1605 0.0000
0.0000 0.0000 12.5796
Rb Zn Sn
2 1 7
direct
0.0000 0.5000 0.2421 Rb
0.5000 0.0000 0.7579 Rb
0.5000 0.5000 0.0000 Zn
0.0000 0.0000 0.0000 Sn
0.0000 0.0000 0.5000 Sn
0.0000 0.5000 0.6319 Sn
0.0000 0.5000 0.8817 Sn
0.5000 0.0000 0.1183 Sn
0.5000 0.0000 0.3681 Sn
0.5000 0.5000 0.5000 Sn
```

***

(10)
Rb3Zn2Sn4 | PBE-GGA | optimized geometry

Geometry as POSCAR:
```
Rb3Zn2Sn4
1.0
7.1610 -2.2465 0.0000
7.1610 2.2465 0.0000
-2.2287 0.0000 10.4488
Rb Zn Sn
3 2 4
direct
0.0000 0.0000 0.0000 Rb
0.3857 0.3857 0.6073 Rb
0.6143 0.6143 0.3927 Rb
0.3401 0.3401 0.1783 Zn
0.6599 0.6599 0.8217 Zn
0.1161 0.1161 0.6837 Sn
0.2852 0.2852 0.9063 Sn
0.7148 0.7148 0.0937 Sn
0.8839 0.8839 0.3163 Sn
```

***

(11)
Rb3ZnSn | PBE-GGA | optimized geometry

Geometry as POSCAR:
```
Rb3ZnSn
1.0
6.6072 -5.5381 0.0000
6.6072 5.5381 0.0000
-5.4727 0.0000 6.7029
Rb Zn Sn
6 2 2
direct
0.0539 0.0539 0.2819 Rb
0.0941 0.4863 0.8092 Rb
0.4863 0.0941 0.8092 Rb
0.5137 0.9059 0.1908 Rb
0.9059 0.5137 0.1908 Rb
0.9461 0.9461 0.7181 Rb
0.3007 0.3007 0.1768 Zn
0.6993 0.6993 0.8232 Zn
0.4303 0.4303 0.5913 Sn
0.5697 0.5697 0.4087 Sn
```

Results
- excess energy over the best structure of this formula in the dataset (eV per atom) = 0.000

***

(12)
Rb3ZnSn4 | PBE-GGA | optimized geometry

Geometry as POSCAR:
```
Rb3ZnSn4
1.0
7.1606 0.0000 0.0000
0.0000 13.6781 0.0000
0.0000 0.0000 6.4676
Rb Zn Sn
6 2 8
direct
0.2500 0.0085 0.1716 Rb
0.2500 0.2500 0.5468 Rb
0.2500 0.4915 0.1716 Rb
0.7500 0.5085 0.8284 Rb
0.7500 0.7500 0.4532 Rb
0.7500 0.9915 0.8284 Rb
0.2500 0.7500 0.3125 Zn
0.7500 0.2500 0.6875 Zn
0.0210 0.7500 0.9670 Sn
0.2500 0.6340 0.6666 Sn
0.2500 0.8660 0.6666 Sn
0.4790 0.7500 0.9670 Sn
0.5210 0.2500 0.0330 Sn
0.7500 0.1340 0.3334 Sn
0.7500 0.3660 0.3334 Sn
0.9790 0.2500 0.0330 Sn
```

***

(13)
Rb3Zn3Sn8 | PBE-GGA | optimized geometry

Geometry as POSCAR:
```
Rb3Zn3Sn8
1.0
9.4443 -2.2801 0.0000
9.4443 2.2801 0.0000
-4.4813 0.0000 10.2993
Rb Zn Sn
3 3 8
direct
0.0000 0.0000 0.0000 Rb
0.2837 0.2837 0.3232 Rb
0.7163 0.7163 0.6768 Rb
0.0000 0.0000 0.5000 Zn
0.3344 0.3344 0.9489 Zn
0.6656 0.6656 0.0511 Zn
0.1113 0.1113 0.4112 Sn
0.1786 0.1786 0.9173 Sn
0.3894 0.3894 0.7526 Sn
0.4591 0.4591 0.2640 Sn
0.5409 0.5409 0.7360 Sn
0.6106 0.6106 0.2474 Sn
0.8214 0.8214 0.0827 Sn
0.8887 0.8887 0.5888 Sn
```

Results
- excess energy over the best structure of this formula in the dataset (eV per atom) = 0.022

***

(14)
RbZn2Sn4 | PBE-GGA | optimized geometry

Geometry as POSCAR:
```
RbZn2Sn4
1.0
9.1663 0.0000 0.0000
0.0000 9.1663 0.0000
0.0000 0.0000 4.6108
Rb Zn Sn
2 4 8
direct
0.0000 0.0000 0.0000 Rb
0.5000 0.5000 0.5000 Rb
0.2224 0.2224 0.5000 Zn
0.2776 0.7224 0.0000 Zn
0.7224 0.2776 0.0000 Zn
0.7776 0.7776 0.5000 Zn
0.0767 0.6685 0.5000 Sn
0.1685 0.4233 0.0000 Sn
0.3315 0.9233 0.5000 Sn
0.4233 0.1685 0.0000 Sn
0.5767 0.8315 0.0000 Sn
0.6685 0.0767 0.5000 Sn
0.8315 0.5767 0.0000 Sn
0.9233 0.3315 0.5000 Sn
```

***

(15)
Rb3Zn3Sn8 | PBE-GGA | optimized geometry

Geometry as POSCAR:
```
Rb3Zn3Sn8
1.0
-2.4004 6.2762 6.9559
2.4004 -6.2762 6.9559
2.4004 6.2762 -6.9559
Rb Zn Sn
3 3 8
direct
0.0000 0.0000 0.0000 Rb
0.2537 0.2537 0.0000 Rb
0.7463 0.7463 0.0000 Rb
0.3910 0.5000 0.8910 Zn
0.5000 0.0000 0.5000 Zn
0.6090 0.5000 0.1090 Zn
0.0733 0.3857 0.6876 Sn
0.1819 0.8579 0.3240 Sn
0.3019 0.6143 0.6876 Sn
0.4661 0.1421 0.3240 Sn
0.5339 0.8579 0.6760 Sn
0.6981 0.3857 0.3124 Sn
0.8181 0.1421 0.6760 Sn
0.9267 0.6143 0.3124 Sn
```

Results
- excess energy over the best structure of this formula in the dataset (eV per atom) = 0.000

***

(16)
Rb2ZnSn2 | PBE-GGA | optimized geometry

Geometry as POSCAR:
```
Rb2ZnSn2
1.0
7.0577 0.0000 0.0000
0.0000 7.0577 0.0000
0.0000 0.0000 10.3312
Rb Zn Sn
4 2 4
direct
0.0000 0.5000 0.2500 Rb
0.0000 0.5000 0.7500 Rb
0.5000 0.0000 0.2500 Rb
0.5000 0.0000 0.7500 Rb
0.0000 0.0000 0.0000 Zn
0.5000 0.5000 0.5000 Zn
0.0000 0.0000 0.3732 Sn
0.0000 0.0000 0.6268 Sn
0.5000 0.5000 0.1268 Sn
0.5000 0.5000 0.8732 Sn
```

Results
- excess energy over the best structure of this formula in the dataset (eV per atom) = 0.254

***

(17)
Rb2ZnSn2 | PBE-GGA | optimized geometry

Geometry as POSCAR:
```
Rb2ZnSn2
1.0
10.7376 0.0000 0.0000
0.0000 10.7376 0.0000
0.0000 0.0000 3.7625
Rb Zn Sn
4 2 4
direct
0.2024 0.2976 0.0000 Rb
0.2976 0.7976 0.0000 Rb
0.7024 0.2024 0.0000 Rb
0.7976 0.7024 0.0000 Rb
0.0000 0.0000 0.5000 Zn
0.5000 0.5000 0.5000 Zn
0.0909 0.5909 0.5000 Sn
0.4091 0.0909 0.5000 Sn
0.5909 0.9091 0.5000 Sn
0.9091 0.4091 0.5000 Sn
```

Results
- excess energy over the best structure of this formula in the dataset (eV per atom) = 0.209

***

(18)
RbZn4Sn4 | PBE-GGA | optimized geometry

Geometry as POSCAR:
```
RbZn4Sn4
1.0
9.2069 0.0000 0.0000
0.0000 9.2069 0.0000
0.0000 0.0000 5.7682
Rb Zn Sn
2 8 8
direct
0.2500 0.2500 0.2500 Rb
0.7500 0.7500 0.7500 Rb
0.0781 0.9096 0.1243 Zn
0.0904 0.5781 0.6243 Zn
0.4096 0.9219 0.6243 Zn
0.4219 0.5904 0.1243 Zn
0.5781 0.4096 0.8757 Zn
0.5904 0.0781 0.3757 Zn
0.9096 0.4219 0.3757 Zn
0.9219 0.0904 0.8757 Zn
0.1059 0.6116 0.1249 Sn
0.1116 0.8941 0.6249 Sn
0.3884 0.6059 0.6249 Sn
0.3941 0.8884 0.1249 Sn
0.6059 0.1116 0.8751 Sn
0.6116 0.3941 0.3751 Sn
0.8884 0.1059 0.3751 Sn
0.8941 0.3884 0.8751 Sn
```

***

(19)
Rb2Zr2Sn | PBE-GGA | optimized geometry

Geometry as POSCAR:
```
Rb2Zr2Sn
1.0
7.3798 0.0000 0.0000
0.0000 7.3798 0.0000
0.0000 0.0000 6.7594
Rb Zr Sn
4 4 2
direct
0.1992 0.3008 0.0000 Rb
0.3008 0.8008 0.0000 Rb
0.6992 0.1992 0.0000 Rb
0.8008 0.6992 0.0000 Rb
0.1275 0.6275 0.5000 Zr
0.3725 0.1275 0.5000 Zr
0.6275 0.8725 0.5000 Zr
0.8725 0.3725 0.5000 Zr
0.0000 0.0000 0.5000 Sn
0.5000 0.5000 0.5000 Sn
```

Results
- excess energy over the best structure of this formula in the dataset (eV per atom) = 0.000

***

(20)
Rb2Zr2Sn | PBE-GGA | optimized geometry

Geometry as POSCAR:
```
Rb2Zr2Sn
1.0
4.3784 0.0000 0.0000
0.0000 4.3784 0.0000
0.0000 0.0000 17.2375
Rb Zr Sn
4 4 2
direct
0.0000 0.5000 0.2500 Rb
0.0000 0.5000 0.7500 Rb
0.5000 0.0000 0.2500 Rb
0.5000 0.0000 0.7500 Rb
0.0000 0.0000 0.0686 Zr
0.0000 0.0000 0.9314 Zr
0.5000 0.5000 0.4314 Zr
0.5000 0.5000 0.5686 Zr
0.0000 0.0000 0.5000 Sn
0.5000 0.5000 0.0000 Sn
```

Results
- excess energy over the best structure of this formula in the dataset (eV per atom) = 0.299

***

Magnetic moment list, top to bottom, in μB per formula unit: 0.0, 0.0, 0.0, 1.0, 0.0, 2.4, 0.0, 0.0, 0.0, 0.0, 0.0, 0.0, 0.0, 0.0, 0.0, 0.0, 0.0, 0.0, 0.0, 0.0
E_form list, top to bottom, in kcal/mol of atoms: 2.0, -2.7, 1.3, 5.4, -0.8, 23.7, -1.3, -1.7, -2.5, -2.9, 0.8, -5.0, -1.4, 0.0, -2.0, 4.1, 3.1, 0.5, 12.4, 19.2
E_tot list, top to bottom, in eV/cell: -34.6, -53.9, -32.8, -7.0, -21.1, -3.6, -26.3, -23.2, -32.3, -22.6, -16.0, -43.9, -39.6, -39.1, -39.9, -20.6, -21.1, -43.8, -40.7, -37.7